[1]
Compound: La2Pm6DyTm
Source: Alexandria via LeMat-Bulk
Functional: GGA-PBE
Structure: relaxed

Summary:
symmetry: C2/c (15)
total magnetic moment: 0.0 μB per formula unit
DFT formation energy: 114 meV per atom

Cell: 8.888 8.888 10.040 Å, 95.16 95.16 118.01°
Positions (direct):
La 0.194 0.293 0.041
La 0.293 0.194 0.541
La 0.707 0.806 0.459
La 0.806 0.707 0.959
Pm 0.019 0.581 0.190
Pm 0.124 0.743 0.556
Pm 0.257 0.876 0.944
Pm 0.294 0.499 0.379
Pm 0.419 0.981 0.310
Pm 0.499 0.294 0.879
Pm 0.501 0.706 0.121
Pm 0.581 0.019 0.690
Pm 0.706 0.501 0.621
Pm 0.743 0.124 0.056
Pm 0.876 0.257 0.444
Pm 0.981 0.419 0.810
Dy 0.013 0.987 0.250
Dy 0.987 0.013 0.750
Tm 0.405 0.595 0.750
Tm 0.595 0.405 0.250



[2]
Compound: La2Pm6Dy3Tm
Source: Alexandria via LeMat-Bulk
Functional: GGA-PBE
Structure: relaxed

Summary:
symmetry: C2/m (12)
total magnetic moment: 0.0 μB per formula unit
DFT formation energy: 19 meV per atom

Cell: 6.288 6.288 12.019 Å, 95.02 95.02 120.01°
Positions (direct):
La 0.167 0.833 0.000
La 0.833 0.167 0.000
Pm 0.084 0.415 0.746
Pm 0.253 0.253 0.254
Pm 0.415 0.084 0.746
Pm 0.585 0.916 0.254
Pm 0.747 0.747 0.746
Pm 0.916 0.585 0.254
Dy 0.000 0.000 0.500
Dy 0.334 0.666 0.500
Dy 0.666 0.334 0.500
Tm 0.500 0.500 0.000



[3]
Compound: La5Pm2DyTm
Source: Alexandria via LeMat-Bulk
Functional: GGA-PBE
Structure: relaxed

Summary:
symmetry: I4/mcm (140)
total magnetic moment: 0.0 μB per formula unit
DFT formation energy: 275 meV per atom

Cell: 10.709 10.709 10.709 Å, 132.92 132.92 68.77°
Positions (direct):
La 0.000 0.000 0.000
La 0.079 0.579 0.943
La 0.136 0.079 0.500
La 0.364 0.864 0.943
La 0.421 0.364 0.500
La 0.500 0.500 0.000
La 0.579 0.636 0.500
La 0.636 0.136 0.057
La 0.864 0.921 0.500
La 0.921 0.421 0.057
Pm 0.125 0.375 0.500
Pm 0.375 0.875 0.250
Pm 0.625 0.125 0.750
Pm 0.875 0.625 0.500
Dy 0.250 0.250 0.000
Dy 0.750 0.750 0.000
Tm 0.250 0.750 0.500
Tm 0.750 0.250 0.500



[4]
Compound: LaPm6Dy3Tm2
Source: Alexandria via LeMat-Bulk
Functional: GGA-PBE
Structure: relaxed

Summary:
symmetry: C2/m (12)
total magnetic moment: 0.0 μB per formula unit
DFT formation energy: 19 meV per atom

Cell: 6.253 6.253 11.917 Å, 95.02 95.02 119.99°
Positions (direct):
La 0.000 0.000 0.000
Pm 0.084 0.419 0.251
Pm 0.250 0.250 0.748
Pm 0.419 0.084 0.251
Pm 0.581 0.916 0.749
Pm 0.750 0.750 0.252
Pm 0.916 0.581 0.749
Dy 0.167 0.833 0.500
Dy 0.500 0.500 0.500
Dy 0.833 0.167 0.500
Tm 0.333 0.667 0.000
Tm 0.667 0.333 0.000



[5]
Compound: La3PmDy6Y2
Source: Alexandria via LeMat-Bulk
Functional: GGA-PBE
Structure: relaxed

Summary:
symmetry: C2/m (12)
total magnetic moment: 0.0 μB per formula unit
DFT formation energy: 20 meV per atom

Cell: 6.257 6.257 11.918 Å, 95.01 95.01 120.01°
Positions (direct):
La 0.000 0.000 0.000
La 0.333 0.667 0.000
La 0.667 0.333 0.000
Pm 0.500 0.500 0.500
Dy 0.085 0.418 0.254
Dy 0.249 0.249 0.746
Dy 0.418 0.085 0.254
Dy 0.582 0.915 0.746
Dy 0.751 0.751 0.254
Dy 0.915 0.582 0.746
Y 0.167 0.833 0.500
Y 0.833 0.167 0.500



[6]
Compound: LaPm2Dy3Y6
Source: Alexandria via LeMat-Bulk
Functional: GGA-PBE
Structure: relaxed

Summary:
symmetry: C2/m (12)
total magnetic moment: 0.0 μB per formula unit
DFT formation energy: 19 meV per atom

Cell: 6.228 6.228 11.869 Å, 95.00 95.00 119.98°
Positions (direct):
La 0.000 0.000 0.000
Pm 0.333 0.667 0.000
Pm 0.667 0.333 0.000
Dy 0.167 0.833 0.500
Dy 0.500 0.500 0.500
Dy 0.833 0.167 0.500
Y 0.085 0.419 0.254
Y 0.249 0.249 0.746
Y 0.419 0.085 0.254
Y 0.581 0.915 0.746
Y 0.751 0.751 0.254
Y 0.915 0.581 0.746



[7]
Compound: La2Pm2Dy2Y
Source: Alexandria via LeMat-Bulk
Functional: GGA-PBE
Structure: relaxed

Summary:
symmetry: C2/m (12)
total magnetic moment: 0.0 μB per formula unit
DFT formation energy: 24 meV per atom

Cell: 11.489 5.148 8.148 Å, 90.00 98.11 90.00°
Positions (direct):
La 0.143 0.000 0.426
La 0.357 0.500 0.574
La 0.643 0.500 0.426
La 0.857 0.000 0.574
Pm 0.215 0.500 0.140
Pm 0.285 0.000 0.860
Pm 0.715 0.000 0.140
Pm 0.785 0.500 0.860
Dy 0.071 0.500 0.716
Dy 0.429 0.000 0.284
Dy 0.571 0.000 0.716
Dy 0.929 0.500 0.284
Y 0.000 0.000 0.000
Y 0.500 0.500 0.000



[8]
Compound: La6Pm2DyY
Source: Alexandria via LeMat-Bulk
Functional: GGA-PBE
Structure: relaxed

Summary:
symmetry: C2/m (12)
total magnetic moment: 0.0 μB per formula unit
DFT formation energy: 183 meV per atom

Cell: 6.762 6.762 9.257 Å, 104.99 104.99 62.59°
Positions (direct):
La 0.071 0.535 0.197
La 0.128 0.128 0.421
La 0.465 0.929 0.803
La 0.535 0.071 0.197
La 0.872 0.872 0.579
La 0.929 0.465 0.803
Pm 0.426 0.426 0.829
Pm 0.574 0.574 0.171
Dy 0.000 0.000 0.000
Y 0.500 0.500 0.500



- Which formula does entry 5 have?
  La3PmDy6Y2



- What is the DFT formation energy in the seventh record?
  24 meV per atom



Repeat the second record exactly.
Compound: La2Pm6Dy3Tm
Source: Alexandria via LeMat-Bulk
Functional: GGA-PBE
Structure: relaxed

Summary:
symmetry: C2/m (12)
total magnetic moment: 0.0 μB per formula unit
DFT formation energy: 19 meV per atom

Cell: 6.288 6.288 12.019 Å, 95.02 95.02 120.01°
Positions (direct):
La 0.167 0.833 0.000
La 0.833 0.167 0.000
Pm 0.084 0.415 0.746
Pm 0.253 0.253 0.254
Pm 0.415 0.084 0.746
Pm 0.585 0.916 0.254
Pm 0.747 0.747 0.746
Pm 0.916 0.585 0.254
Dy 0.000 0.000 0.500
Dy 0.334 0.666 0.500
Dy 0.666 0.334 0.500
Tm 0.500 0.500 0.000